<one>
A plane-wave DFT calculation with PBE was carried out for an optimized crystal structure of Sm4MgSe5.

```
data_Sm4MgSe5
_space_group_name_H-M_alt 'P 1'
_space_group_IT_number 1
_cell_length_a 7.155
_cell_length_b 7.155
_cell_length_c 7.155
_cell_angle_alpha 99.64
_cell_angle_beta 99.64
_cell_angle_gamma 131.70
loop_
_space_group_symop_operation_xyz
'x,y,z'
loop_
_atom_site_label
_atom_site_fract_x
_atom_site_fract_y
_atom_site_fract_z
Sm1 0.094 0.693 0.787
Sm2 0.307 0.094 0.401
Sm3 0.693 0.906 0.599
Sm4 0.906 0.307 0.213
Mg1 0.498 0.498 0.000
Se1 0.000 0.000 0.000
Se2 0.220 0.403 0.623
Se3 0.403 0.780 0.183
Se4 0.597 0.220 0.817
Se5 0.780 0.597 0.377
```

***

<two>
A plane-wave DFT calculation with PBE was carried out for an optimized crystal structure of Sm4MgSe5.

```
data_Sm4MgSe5
_space_group_name_H-M_alt 'P 1'
_space_group_IT_number 1
_cell_length_a 17.346
_cell_length_b 17.346
_cell_length_c 17.346
_cell_angle_alpha 13.55
_cell_angle_beta 13.55
_cell_angle_gamma 13.55
loop_
_space_group_symop_operation_xyz
'x,y,z'
loop_
_atom_site_label
_atom_site_fract_x
_atom_site_fract_y
_atom_site_fract_z
Sm1 0.100 0.100 0.100
Sm2 0.298 0.298 0.298
Sm3 0.702 0.702 0.702
Sm4 0.900 0.900 0.900
Mg1 0.500 0.500 0.500
Se1 0.000 0.000 0.000
Se2 0.196 0.196 0.196
Se3 0.401 0.401 0.401
Se4 0.599 0.599 0.599
Se5 0.804 0.804 0.804
```

***

Which structure is the most stable? The one labeled <two>.

***

<one>
A plane-wave DFT calculation with PBE was carried out for an optimized crystal structure of Sm2MgSe.

```
data_Sm2MgSe
_space_group_name_H-M_alt 'P 1'
_space_group_IT_number 1
_cell_length_a 10.480
_cell_length_b 10.480
_cell_length_c 10.480
_cell_angle_alpha 21.25
_cell_angle_beta 21.25
_cell_angle_gamma 21.25
loop_
_space_group_symop_operation_xyz
'x,y,z'
loop_
_atom_site_label
_atom_site_fract_x
_atom_site_fract_y
_atom_site_fract_z
Sm1 0.109 0.109 0.109
Sm2 0.891 0.891 0.891
Mg1 0.000 0.000 0.000
Se1 0.500 0.500 0.500
```

***

<two>
A plane-wave DFT calculation with PBE was carried out for an optimized crystal structure of Sm2MgSe.

```
data_Sm2MgSe
_space_group_name_H-M_alt 'P 1'
_space_group_IT_number 1
_cell_length_a 3.763
_cell_length_b 3.763
_cell_length_c 7.299
_cell_angle_alpha 90.00
_cell_angle_beta 90.00
_cell_angle_gamma 90.00
loop_
_space_group_symop_operation_xyz
'x,y,z'
loop_
_atom_site_label
_atom_site_fract_x
_atom_site_fract_y
_atom_site_fract_z
Sm1 0.000 0.000 0.237
Sm2 0.000 0.000 0.763
Mg1 0.500 0.500 0.500
Se1 0.500 0.500 0.000
```

***

Which structure is the most stable? The one labeled <two>.

***

<one>
A plane-wave DFT calculation with PBE was carried out for an optimized crystal structure of Sm3MgSe4.

```
data_Sm3MgSe4
_space_group_name_H-M_alt 'P 1'
_space_group_IT_number 1
_cell_length_a 14.023
_cell_length_b 14.023
_cell_length_c 14.023
_cell_angle_alpha 16.65
_cell_angle_beta 16.65
_cell_angle_gamma 16.65
loop_
_space_group_symop_operation_xyz
'x,y,z'
loop_
_atom_site_label
_atom_site_fract_x
_atom_site_fract_y
_atom_site_fract_z
Sm1 0.000 0.000 0.000
Sm2 0.250 0.250 0.250
Sm3 0.750 0.750 0.750
Mg1 0.500 0.500 0.500
Se1 0.130 0.130 0.130
Se2 0.376 0.376 0.376
Se3 0.624 0.624 0.624
Se4 0.870 0.870 0.870
```

***

<two>
A plane-wave DFT calculation with PBE was carried out for an optimized crystal structure of Sm3MgSe4.

```
data_Sm3MgSe4
_space_group_name_H-M_alt 'P 1'
_space_group_IT_number 1
_cell_length_a 7.182
_cell_length_b 7.182
_cell_length_c 4.053
_cell_angle_alpha 90.00
_cell_angle_beta 90.00
_cell_angle_gamma 108.67
loop_
_space_group_symop_operation_xyz
'x,y,z'
loop_
_atom_site_label
_atom_site_fract_x
_atom_site_fract_y
_atom_site_fract_z
Sm1 0.000 0.000 0.000
Sm2 0.000 0.500 0.500
Sm3 0.500 0.000 0.500
Mg1 0.500 0.500 0.000
Se1 0.261 0.739 0.000
Se2 0.269 0.269 0.500
Se3 0.731 0.731 0.500
Se4 0.739 0.261 0.000
```

***

Which structure is the most stable? The one labeled <one>.

***

<one>
A plane-wave DFT calculation with PBE was carried out for an optimized crystal structure of Mg2SnSe.

```
data_Mg2SnSe
_space_group_name_H-M_alt 'P 1'
_space_group_IT_number 1
_cell_length_a 9.069
_cell_length_b 9.069
_cell_length_c 9.069
_cell_angle_alpha 24.55
_cell_angle_beta 24.55
_cell_angle_gamma 24.55
loop_
_space_group_symop_operation_xyz
'x,y,z'
loop_
_atom_site_label
_atom_site_fract_x
_atom_site_fract_y
_atom_site_fract_z
Mg1 0.092 0.092 0.092
Mg2 0.908 0.908 0.908
Sn1 0.500 0.500 0.500
Se1 0.000 0.000 0.000
```

***

<two>
A plane-wave DFT calculation with PBE was carried out for an optimized crystal structure of Mg2SnSe.

```
data_Mg2SnSe
_space_group_name_H-M_alt 'P 1'
_space_group_IT_number 1
_cell_length_a 7.046
_cell_length_b 7.046
_cell_length_c 7.046
_cell_angle_alpha 121.57
_cell_angle_beta 121.57
_cell_angle_gamma 87.30
loop_
_space_group_symop_operation_xyz
'x,y,z'
loop_
_atom_site_label
_atom_site_fract_x
_atom_site_fract_y
_atom_site_fract_z
Mg1 0.083 0.625 0.958
Mg2 0.375 0.333 0.458
Mg3 0.667 0.125 0.042
Mg4 0.875 0.917 0.542
Sn1 0.250 0.750 0.500
Sn2 0.500 0.500 0.000
Se1 0.000 0.000 0.000
Se2 0.750 0.250 0.500
```

***

Which structure is the most stable? The one labeled <two>.

***

<one>
A plane-wave DFT calculation with PBE was carried out for an optimized crystal structure of Mg2SnSe4.

```
data_Mg2SnSe4
_space_group_name_H-M_alt 'P 1'
_space_group_IT_number 1
_cell_length_a 13.823
_cell_length_b 7.992
_cell_length_c 6.584
_cell_angle_alpha 90.00
_cell_angle_beta 90.00
_cell_angle_gamma 90.00
loop_
_space_group_symop_operation_xyz
'x,y,z'
loop_
_atom_site_label
_atom_site_fract_x
_atom_site_fract_y
_atom_site_fract_z
Mg1 0.000 0.000 0.000
Mg2 0.000 0.500 0.000
Mg3 0.231 0.250 0.499
Mg4 0.269 0.750 0.999
Mg5 0.500 0.000 0.500
Mg6 0.500 0.500 0.500
Mg7 0.731 0.250 0.001
Mg8 0.769 0.750 0.501
Sn1 0.088 0.750 0.580
Sn2 0.412 0.250 0.080
Sn3 0.588 0.750 0.920
Sn4 0.912 0.250 0.420
Se1 0.078 0.250 0.243
Se2 0.093 0.750 0.195
Se3 0.169 0.503 0.762
Se4 0.169 0.997 0.762
Se5 0.331 0.003 0.262
Se6 0.331 0.497 0.262
Se7 0.407 0.250 0.695
Se8 0.422 0.750 0.743
Se9 0.578 0.250 0.257
Se10 0.593 0.750 0.305
Se11 0.669 0.503 0.738
Se12 0.669 0.997 0.738
Se13 0.831 0.003 0.238
Se14 0.831 0.497 0.238
Se15 0.907 0.250 0.805
Se16 0.922 0.750 0.757
```

***

<two>
A plane-wave DFT calculation with PBE was carried out for an optimized crystal structure of Mg2SnSe4.

```
data_Mg2SnSe4
_space_group_name_H-M_alt 'P 1'
_space_group_IT_number 1
_cell_length_a 6.619
_cell_length_b 6.619
_cell_length_c 4.941
_cell_angle_alpha 90.00
_cell_angle_beta 90.00
_cell_angle_gamma 90.00
loop_
_space_group_symop_operation_xyz
'x,y,z'
loop_
_atom_site_label
_atom_site_fract_x
_atom_site_fract_y
_atom_site_fract_z
Mg1 0.000 0.500 0.000
Mg2 0.500 0.000 0.000
Sn1 0.000 0.000 0.000
Se1 0.239 0.239 0.252
Se2 0.239 0.761 0.748
Se3 0.761 0.239 0.748
Se4 0.761 0.761 0.252
```

***

Which structure is the most stable? The one labeled <one>.

***

<one>
A plane-wave DFT calculation with PBE was carried out for an optimized crystal structure of MgSn3Se.

```
data_MgSn3Se
_space_group_name_H-M_alt 'P 1'
_space_group_IT_number 1
_cell_length_a 5.544
_cell_length_b 5.544
_cell_length_c 5.544
_cell_angle_alpha 90.00
_cell_angle_beta 90.00
_cell_angle_gamma 90.00
loop_
_space_group_symop_operation_xyz
'x,y,z'
loop_
_atom_site_label
_atom_site_fract_x
_atom_site_fract_y
_atom_site_fract_z
Mg1 0.000 0.000 0.000
Sn1 0.000 0.500 0.500
Sn2 0.500 0.000 0.500
Sn3 0.500 0.500 0.000
Se1 0.500 0.500 0.500
```

***

<two>
A plane-wave DFT calculation with PBE was carried out for an optimized crystal structure of MgSn3Se.

```
data_MgSn3Se
_space_group_name_H-M_alt 'P 1'
_space_group_IT_number 1
_cell_length_a 5.383
_cell_length_b 5.383
_cell_length_c 5.383
_cell_angle_alpha 90.00
_cell_angle_beta 90.00
_cell_angle_gamma 90.00
loop_
_space_group_symop_operation_xyz
'x,y,z'
loop_
_atom_site_label
_atom_site_fract_x
_atom_site_fract_y
_atom_site_fract_z
Mg1 0.000 0.000 0.000
Sn1 0.000 0.000 0.500
Sn2 0.000 0.500 0.000
Sn3 0.500 0.000 0.000
Se1 0.500 0.500 0.500
```

***

Which structure is the most stable? The one labeled <one>.